A | ! NaLaMnS2 (PBE-GGA, optimized geometry); values from VASP
&SYSTEM
  ibrav = 0, nat = 5, ntyp = 4
/
ATOMIC_SPECIES
Na 22.99 Na.upf
La 138.91 La.upf
Mn 54.94 Mn.upf
S 32.06 S.upf
ATOMIC_POSITIONS angstrom
Na 0.000 0.000 0.000
La 2.495 2.495 2.280
Mn 0.000 0.000 2.280
S 0.000 2.495 0.000
S 2.495 0.000 0.000
CELL_PARAMETERS angstrom
4.991 0.000 0.000
0.000 4.991 0.000
0.000 0.000 4.560
! Space-group type   P4/mmm (123)

B | ! NaLaMnS2 (PBE-GGA, optimized geometry); values from VASP
&SYSTEM
  ibrav = 0, nat = 5, ntyp = 4
/
ATOMIC_SPECIES
Na 22.99 Na.upf
La 138.91 La.upf
Mn 54.94 Mn.upf
S 32.06 S.upf
ATOMIC_POSITIONS angstrom
Na 0.000 0.000 0.000
La 0.000 0.000 3.214
Mn 2.715 2.715 0.000
S 0.000 2.715 3.214
S 2.715 0.000 3.214
CELL_PARAMETERS angstrom
5.429 0.000 0.000
0.000 5.429 0.000
0.000 0.000 6.427
! Space-group type   P4/mmm (123)

Decreasing stability: A, B

A | ! NaLa2MnSe (PBE-GGA, optimized geometry); values from VASP
&SYSTEM
  ibrav = 0, nat = 5, ntyp = 4
/
ATOMIC_SPECIES
Na 22.99 Na.upf
La 138.91 La.upf
Mn 54.94 Mn.upf
Se 78.96 Se.upf
ATOMIC_POSITIONS angstrom
Na 0.000 0.000 0.000
La 0.000 2.875 0.000
La 2.875 0.000 0.000
Mn 0.000 0.000 2.323
Se 2.875 2.875 2.323
CELL_PARAMETERS angstrom
5.749 0.000 0.000
0.000 5.749 0.000
0.000 0.000 4.646
! Space-group type   P4/mmm (123)

B | ! NaLa2MnSe (PBE-GGA, optimized geometry); values from VASP
&SYSTEM
  ibrav = 0, nat = 5, ntyp = 4
/
ATOMIC_SPECIES
Na 22.99 Na.upf
La 138.91 La.upf
Mn 54.94 Mn.upf
Se 78.96 Se.upf
ATOMIC_POSITIONS angstrom
Na 0.000 0.000 0.000
La 0.000 2.921 2.189
La 2.921 0.000 2.189
Mn 2.921 2.921 0.000
Se 2.921 2.921 2.189
CELL_PARAMETERS angstrom
5.843 0.000 0.000
0.000 5.843 0.000
0.000 0.000 4.378
! Space-group type   P4/mmm (123)

Decreasing stability: B, A

A | ! La2MnNb (PBE-GGA, optimized geometry); values from VASP
&SYSTEM
  ibrav = 0, nat = 4, ntyp = 3
/
ATOMIC_SPECIES
La 138.91 La.upf
Mn 54.94 Mn.upf
Nb 92.91 Nb.upf
ATOMIC_POSITIONS angstrom
La 1.857 1.857 1.857
La 5.570 5.570 5.570
Mn 0.000 0.000 0.000
Nb 3.713 3.713 3.713
CELL_PARAMETERS angstrom
0.000 3.713 3.713
3.713 0.000 3.713
3.713 3.713 0.000
! Space-group type   Fm-3m (225)

B | ! La2MnNb (PBE-GGA, optimized geometry); values from VASP
&SYSTEM
  ibrav = 0, nat = 8, ntyp = 3
/
ATOMIC_SPECIES
La 138.91 La.upf
Mn 54.94 Mn.upf
Nb 92.91 Nb.upf
ATOMIC_POSITIONS angstrom
La 6.142 1.956 -0.762
La 1.956 2.047 0.762
La -2.047 2.138 2.287
La 2.138 2.047 3.811
Mn 0.000 0.000 0.000
Mn 0.000 4.095 1.524
Nb 4.095 0.000 1.524
Nb 0.000 0.000 3.049
CELL_PARAMETERS angstrom
-4.095 4.095 3.049
4.095 -4.095 3.049
4.095 4.095 -3.049
! Space-group type   I-42d (122)

Decreasing stability: A, B

A | ! LaMn2Nb (PBE-GGA, optimized geometry); values from VASP
&SYSTEM
  ibrav = 0, nat = 4, ntyp = 3
/
ATOMIC_SPECIES
La 138.91 La.upf
Mn 54.94 Mn.upf
Nb 92.91 Nb.upf
ATOMIC_POSITIONS angstrom
La 0.000 0.000 0.000
Mn 1.623 1.623 1.623
Mn 4.870 4.870 4.870
Nb 3.247 3.247 3.247
CELL_PARAMETERS angstrom
0.000 3.247 3.247
3.247 0.000 3.247
3.247 3.247 0.000
! Space-group type   Fm-3m (225)

B | ! LaMn2Nb (PBE-GGA, optimized geometry); values from VASP
&SYSTEM
  ibrav = 0, nat = 8, ntyp = 3
/
ATOMIC_SPECIES
La 138.91 La.upf
Mn 54.94 Mn.upf
Nb 92.91 Nb.upf
ATOMIC_POSITIONS angstrom
La 2.320 1.160 2.062
La 0.000 1.160 6.186
Mn 0.000 0.000 0.000
Mn 1.160 1.160 -4.124
Mn 1.160 -1.160 4.124
Mn 0.000 2.320 0.000
Nb 2.320 -1.160 6.186
Nb 0.000 3.481 2.062
CELL_PARAMETERS angstrom
-2.320 2.320 8.248
2.320 -2.320 8.248
2.320 2.320 -8.248
! Space-group type   I4_1/amd (141)

Decreasing stability: A, B